Record 1
# Mg4Rh5Pb, optimized geometry, DFT PBE
data_Mg4Rh5Pb
_chemical_formula_sum 'Mg4 Rh5 Pb1'
_cell_length_a 3.188
_cell_length_b 3.188
_cell_length_c 15.701
_cell_angle_alpha 90.00
_cell_angle_beta 90.00
_cell_angle_gamma 90.00
_space_group_name_H-M_alt 'P 4/m m m'
_space_group_IT_number 123
_space_group_name_Hall '-P 4 2'
loop_
_atom_site_label
_atom_site_type_symbol
_atom_site_fract_x
_atom_site_fract_y
_atom_site_fract_z
_atom_site_occupancy
Mg1 Mg 0.000 0.000 0.096 1
Mg2 Mg 0.000 0.000 0.288 1
Rh1 Rh 0.500 0.500 0.000 1
Rh2 Rh 0.500 0.500 0.194 1
Rh3 Rh 0.500 0.500 0.393 1
Pb1 Pb 0.000 0.000 0.500 1
# E_form ... -0.38 eV/atom
# Raw total energy ... -5.07 eV/atom
# V ... 15.953 A^3/atom
# Fermi-level density of states ... 7.0 states/eV/cell

Record 2
# Hf2GaHg, optimized geometry, DFT PBE
data_Hf2GaHg
_chemical_formula_sum 'Hf2 Ga1 Hg1'
_cell_length_a 4.363
_cell_length_b 4.363
_cell_length_c 4.161
_cell_angle_alpha 90.00
_cell_angle_beta 90.00
_cell_angle_gamma 90.00
_space_group_name_H-M_alt 'P 4/m m m'
_space_group_IT_number 123
_space_group_name_Hall '-P 4 2'
loop_
_atom_site_label
_atom_site_type_symbol
_atom_site_fract_x
_atom_site_fract_y
_atom_site_fract_z
_atom_site_occupancy
Hf1 Hf 0.000 0.500 0.000 1
Ga1 Ga 0.000 0.000 0.500 1
Hg1 Hg 0.500 0.500 0.500 1
# E_form ... -0.19 eV/atom
# Raw total energy ... -6.00 eV/atom
# V ... 19.802 A^3/atom
# Fermi-level density of states ... 3.8 states/eV/cell
# Energy above the lowest structure with this stoichiometry ... 40 meV per atom

Record 3
# Te6PtAu, optimized geometry, DFT PBE
data_Te6PtAu
_chemical_formula_sum 'Te6 Pt1 Au1'
_cell_length_a 6.586
_cell_length_b 6.720
_cell_length_c 6.733
_cell_angle_alpha 119.10
_cell_angle_beta 90.15
_cell_angle_gamma 118.13
_space_group_name_H-M_alt 'P -1'
_space_group_IT_number 2
loop_
_space_group_symop_operation_xyz
'x,y,z'
'-x,-y,-z'
loop_
_atom_site_label
_atom_site_type_symbol
_atom_site_fract_x
_atom_site_fract_y
_atom_site_fract_z
_atom_site_occupancy
Te1 Te 0.031 0.291 0.044 1
Te2 Te 0.226 0.979 0.536 1
Te3 Te 0.455 0.698 0.728 1
Pt1 Pt 0.000 0.500 0.500 1
Au1 Au 0.500 0.500 0.000 1
# Formation energy from raw total energies ... -0.06 eV/atom
# Raw total energy ... -3.58 eV/atom
# V ... 27.373 A^3/atom
# Fermi-level density of states ... 3.6 states/eV/cell

Record 4
# SnHSN2, optimized geometry, DFT PBE
data_SnHSN2
_chemical_formula_sum 'Sn1 H1 S1 N2'
_cell_length_a 4.187
_cell_length_b 4.187
_cell_length_c 5.220
_cell_angle_alpha 90.00
_cell_angle_beta 90.00
_cell_angle_gamma 90.00
_space_group_name_H-M_alt 'P 4/m m m'
_space_group_IT_number 123
_space_group_name_Hall '-P 4 2'
loop_
_atom_site_label
_atom_site_type_symbol
_atom_site_fract_x
_atom_site_fract_y
_atom_site_fract_z
_atom_site_occupancy
Sn1 Sn 0.000 0.000 0.000 1
H1 H 0.500 0.500 0.500 1
S1 S 0.000 0.000 0.500 1
N1 N 0.000 0.500 0.000 1
# Raw total energy ... -3.77 eV/atom
# V ... 18.304 A^3/atom
# Fermi-level density of states ... 1.8 states/eV/cell
# Energy above the lowest structure with this stoichiometry ... 166 meV per atom

Please write out number 1 again, unchanged.
# Mg4Rh5Pb, optimized geometry, DFT PBE
data_Mg4Rh5Pb
_chemical_formula_sum 'Mg4 Rh5 Pb1'
_cell_length_a 3.188
_cell_length_b 3.188
_cell_length_c 15.701
_cell_angle_alpha 90.00
_cell_angle_beta 90.00
_cell_angle_gamma 90.00
_space_group_name_H-M_alt 'P 4/m m m'
_space_group_IT_number 123
_space_group_name_Hall '-P 4 2'
loop_
_atom_site_label
_atom_site_type_symbol
_atom_site_fract_x
_atom_site_fract_y
_atom_site_fract_z
_atom_site_occupancy
Mg1 Mg 0.000 0.000 0.096 1
Mg2 Mg 0.000 0.000 0.288 1
Rh1 Rh 0.500 0.500 0.000 1
Rh2 Rh 0.500 0.500 0.194 1
Rh3 Rh 0.500 0.500 0.393 1
Pb1 Pb 0.000 0.000 0.500 1
# E_form ... -0.38 eV/atom
# Raw total energy ... -5.07 eV/atom
# V ... 15.953 A^3/atom
# Fermi-level density of states ... 7.0 states/eV/cell